No. 1
This record from Alexandria describes VCu2SnH after structural relaxation. The functional is PBE-GGA.

Summary:
- theoretical density (Mg/m³) = 8.109
- total DFT energy (no corrections) (eV for the cell shown) = -24.402

a b c (Å): 3.9263 3.9263 3.9554
angles (deg): 90.00 90.00 90.00
Last column: nearest neighbours and their distance in Å.
Atoms (fractional coordinates):
1 V 0.0000 0.0000 0.0000  2 H 1.98
2 Cu 0.0000 0.5000 0.5000  2 H 1.96
3 Cu 0.5000 0.0000 0.5000  2 H 1.96
4 Sn 0.5000 0.5000 0.0000  4 V 2.78, 8 Cu 2.79
5 H 0.0000 0.0000 0.5000  4 Cu 1.96, 2 V 1.98

No. 2
This record from Alexandria describes Zr2CuSnH after structural relaxation. The functional is PBE-GGA.

Summary:
- theoretical density (Mg/m³) = 7.525
- total DFT energy (no corrections) (eV for the cell shown) = -30.301

a b c (Å): 4.3852 4.3852 4.1965
angles (deg): 90.00 90.00 90.00
Last column: nearest neighbours and their distance in Å.
Atoms (fractional coordinates):
1 Zr 0.0000 0.5000 0.0000  2 H 2.19
2 Zr 0.5000 0.0000 0.0000  2 H 2.19
3 Cu 0.0000 0.0000 0.5000  2 H 2.10
4 Sn 0.5000 0.5000 0.5000  8 Zr 3.03, 4 Cu 3.10
5 H 0.0000 0.0000 0.0000  2 Cu 2.10, 4 Zr 2.19

No. 3
This record from Alexandria describes SrCuH3 after structural relaxation. The functional is PBE-GGA.

Summary:
- theoretical density (Mg/m³) = 2.993
- total DFT energy (no corrections) (eV for the cell shown) = -33.497

a b c (Å): 7.5941 7.5941 7.5941
angles (deg): 41.13 41.13 41.13
Last column: nearest neighbours and their distance in Å.
Atoms (fractional coordinates):
1 Sr 0.1237 0.1237 0.1237  9 H 2.62-2.70
2 Sr 0.8763 0.8763 0.8763  9 H 2.62-2.70
3 Cu 0.4389 0.4389 0.4389  3 H 1.61
4 Cu 0.5611 0.5611 0.5611  3 H 1.61
5 H 0.0901 0.6131 0.6131  1 Cu 1.61
6 H 0.3869 0.3869 0.9099  1 Cu 1.61
7 H 0.3869 0.9099 0.3869  1 Cu 1.61
8 H 0.6131 0.0901 0.6131  1 Cu 1.61
9 H 0.6131 0.6131 0.0901  1 Cu 1.61
10 H 0.9099 0.3869 0.3869  1 Cu 1.61

No. 4
This record from Alexandria describes Sr2CuH2 after structural relaxation. The functional is PBE-GGA.

Summary:
- excess energy over the best structure of this formula in the dataset (eV/atom) = 0.168
- theoretical density (Mg/m³) = 4.270
- total DFT energy (no corrections) (eV for the cell shown) = -29.359

a b c (Å): 7.3639 7.3639 3.4540
angles (deg): 90.00 90.00 90.00
Last column: nearest neighbours and their distance in Å.
Atoms (fractional coordinates):
1 Sr 0.1785 0.3215 0.0000  6 H 2.69-2.84
2 Sr 0.3215 0.8215 0.0000  6 H 2.69-2.84
3 Sr 0.6785 0.1785 0.0000  6 H 2.69-2.84
4 Sr 0.8215 0.6785 0.0000  6 H 2.69-2.84
5 Cu 0.0000 0.0000 0.5000  4 H 2.92, 8 Sr 3.21
6 Cu 0.5000 0.5000 0.5000  4 H 2.92, 8 Sr 3.21
7 H 0.1230 0.6230 0.5000  1 H 2.56, 6 Sr 2.69-2.84
8 H 0.3770 0.1230 0.5000  1 H 2.56, 6 Sr 2.69-2.84
9 H 0.6230 0.8770 0.5000  1 H 2.56, 6 Sr 2.69-2.84
10 H 0.8770 0.3770 0.5000  1 H 2.56, 6 Sr 2.69-2.84

No. 5
This record from Alexandria describes SrCuH3 after structural relaxation. The functional is PBE-GGA.

Summary:
- theoretical density (Mg/m³) = 4.810
- total DFT energy (no corrections) (eV for the cell shown) = -17.432

a b c (Å): 3.7616 3.7616 3.7616
angles (deg): 90.00 90.00 90.00
Last column: nearest neighbours and their distance in Å.
Atoms (fractional coordinates):
1 Sr 0.0000 0.0000 0.0000  12 H 2.66
2 Cu 0.5000 0.5000 0.5000  6 H 1.88
3 H 0.0000 0.5000 0.5000  2 Cu 1.88
4 H 0.5000 0.0000 0.5000  2 Cu 1.88
5 H 0.5000 0.5000 0.0000  2 Cu 1.88

No. 6
This record from Alexandria describes SrCuH3 after structural relaxation. The functional is PBE-GGA.

Summary:
- theoretical density (Mg/m³) = 2.915
- total DFT energy (no corrections) (eV for the cell shown) = -12.865

a b c (Å): 4.4452 4.4452 4.4452
angles (deg): 90.00 90.00 90.00
Last column: nearest neighbours and their distance in Å.
Atoms (fractional coordinates):
1 Sr 0.0000 0.0000 0.0000  6 H 2.22
2 Cu 0.5000 0.5000 0.5000  12 H 3.14
3 H 0.0000 0.0000 0.5000  2 Sr 2.22
4 H 0.0000 0.5000 0.0000  2 Sr 2.22
5 H 0.5000 0.0000 0.0000  2 Sr 2.22

No. 7
This record from Alexandria describes Sr2CuH2 after structural relaxation. The functional is PBE-GGA.

Summary:
- excess energy over the best structure of this formula in the dataset (eV/atom) = 0.000
- theoretical density (Mg/m³) = 3.749
- total DFT energy (no corrections) (eV for the cell shown) = -15.520

a b c (Å): 7.2668 7.2668 7.2668
angles (deg): 148.12 148.12 45.71
Last column: nearest neighbours and their distance in Å.
Atoms (fractional coordinates):
1 Sr 0.1441 0.1441 0.0000  4 H 2.45
2 Sr 0.8559 0.8559 0.0000  4 H 2.45
3 Cu 0.5000 0.5000 0.0000  8 Sr 3.42
4 H 0.2500 0.7500 0.5000  4 Sr 2.45
5 H 0.7500 0.2500 0.5000  4 Sr 2.45

No. 8
This record from Alexandria describes Sr3CuH after structural relaxation. The functional is PBE-GGA.

Summary:
- excess energy over the best structure of this formula in the dataset (eV/atom) = 0.000
- theoretical density (Mg/m³) = 3.679
- total DFT energy (no corrections) (eV for the cell shown) = -12.420

a b c (Å): 5.2867 5.2867 5.2867
angles (deg): 90.00 90.00 90.00
Last column: nearest neighbours and their distance in Å.
Atoms (fractional coordinates):
1 Sr 0.0000 0.0000 0.5000  2 H 2.64
2 Sr 0.0000 0.5000 0.0000  2 H 2.64
3 Sr 0.5000 0.0000 0.0000  2 H 2.64
4 Cu 0.5000 0.5000 0.5000  12 Sr 3.74
5 H 0.0000 0.0000 0.0000  6 Sr 2.64